Computed, not measured: an optimized crystal structure of La8OsPt3Cl4 at the PBE level of DFT.

Values from the calculation:
Energy   -97.7 eV/cell
Spin magnetization   0.0 μB/f.u.
Uncorrected formation energy   -1.35 eV per atom

Cell lengths 9.034, 9.034, 9.034 Å; angles 55.96, 55.96, 55.96 degrees
Fractional positions:
La 0.235 0.235 0.235
La 0.246 0.731 0.731
La 0.269 0.269 0.754
La 0.269 0.754 0.269
La 0.731 0.246 0.731
La 0.731 0.731 0.246
La 0.754 0.269 0.269
La 0.765 0.765 0.765
Os 0.500 0.500 0.500
Pt 0.000 0.000 0.500
Pt 0.000 0.500 0.000
Pt 0.500 0.000 0.000
Cl 0.000 0.000 0.000
Cl 0.000 0.500 0.500
Cl 0.500 0.000 0.500
Cl 0.500 0.500 0.000